VASP calculation (GGA+U) on a relaxed structure of ErMn2GeO6.

The structure in POSCAR format:
```
ErMn2GeO6
1.0
5.193 0.000 0.000
2.484 4.638 0.000
2.429 1.672 4.842
Er Mn Ge O
1 2 1 6
direct
0.000 0.000 0.000
0.213 0.199 0.380
0.725 0.722 0.821
0.519 0.516 0.451
0.156 0.792 0.636
0.320 0.568 0.194
0.406 0.152 0.646
0.595 0.881 0.184
0.765 0.403 0.670
0.905 0.315 0.196
```

Computed properties:
Total magnetization, μB per atom: 0.900
Electronic total energy, eV/atom: -7.49